# BeTc3Mo

An optimized crystal structure of BeTc3Mo (PBE-GGA, the Alexandria database).

Cell and atoms, written as POSCAR:
```
BeTc3Mo
1.0
4.1262 0.0000 0.0000
0.0000 4.1262 0.0000
0.0000 0.0000 4.1262
Be Tc Mo
1 3 1
direct
0.0000 0.0000 0.0000
0.0000 0.0000 0.5000
0.0000 0.5000 0.0000
0.5000 0.0000 0.0000
0.5000 0.5000 0.5000
```

Calculated values
**Relative energy among the computed polymorphs**: 0 meV/atom
**Total moment**: 0.00 Bohr magnetons per cell
**ΔE_f**: 0.51 eV per atom
**Energy**: -8.62 eV per atom
**Symmetry**: Pm-3m, No. 221

=====

# BeTcMo4

An optimized crystal structure of BeTcMo4 (PBE-GGA, the Alexandria database).

Cell and atoms, written as POSCAR:
```
BeTcMo4
1.0
0.0000 3.6294 3.6294
3.6294 0.0000 3.6294
3.6294 3.6294 0.0000
Be Tc Mo
1 1 4
direct
0.0000 0.0000 0.0000
0.7500 0.7500 0.7500
0.3746 0.3746 0.3746
0.3746 0.3746 0.8762
0.3746 0.8762 0.3746
0.8762 0.3746 0.3746
```

Calculated values
**Total moment**: 0.00 Bohr magnetons per cell
**ΔE_f**: 0.49 eV per atom
**Energy**: -9.08 eV per atom
**Symmetry**: F-43m, No. 216

=====

# Be9TcMo2

An optimized crystal structure of Be9TcMo2 (PBE-GGA, the Alexandria database).

Cell and atoms, written as POSCAR:
```
Be9TcMo2
1.0
4.3782 0.0000 0.0000
-2.1891 3.7917 0.0000
0.0000 0.0000 13.8538
Be Tc Mo
18 2 4
direct
0.0000 0.0000 0.0000
0.0000 0.0000 0.2500
0.0000 0.0000 0.5000
0.0000 0.0000 0.7500
0.1679 0.3358 0.1279
0.1679 0.3358 0.3721
0.1679 0.8321 0.1279
0.1679 0.8321 0.3721
0.3333 0.6667 0.2500
0.3358 0.1679 0.6279
0.3358 0.1679 0.8721
0.6642 0.8321 0.1279
0.6642 0.8321 0.3721
0.6667 0.3333 0.7500
0.8321 0.1679 0.6279
0.8321 0.1679 0.8721
0.8321 0.6642 0.6279
0.8321 0.6642 0.8721
0.3333 0.6667 0.7500
0.6667 0.3333 0.2500
0.3333 0.6667 0.5315
0.3333 0.6667 0.9685
0.6667 0.3333 0.0315
0.6667 0.3333 0.4685
```

Calculated values
**Total moment**: 0.00 Bohr magnetons per cell
**ΔE_f**: -0.27 eV per atom
**Energy**: -5.73 eV per atom
**Symmetry**: P6_3/mmc, No. 194

=====

# Be2TcMo

An optimized crystal structure of Be2TcMo (PBE-GGA, the Alexandria database).

Cell and atoms, written as POSCAR:
```
Be2TcMo
1.0
3.0408 0.0000 0.0000
0.0000 3.0408 0.0000
0.0000 0.0000 5.3800
Be Tc Mo
2 1 1
direct
0.0000 0.0000 0.0000
0.5000 0.5000 0.2044
0.5000 0.5000 0.7409
0.0000 0.0000 0.4856
```

Calculated values
**Relative energy among the computed polymorphs**: 331 meV/atom
**Total moment**: 0.00 Bohr magnetons per cell
**ΔE_f**: 0.09 eV per atom
**Energy**: -7.07 eV per atom
**Symmetry**: P4mm, No. 99

=====

# Be2TcMo

An optimized crystal structure of Be2TcMo (PBE-GGA, the Alexandria database).

Cell and atoms, written as POSCAR:
```
Be2TcMo
1.0
2.6091 0.0000 0.0000
0.0000 3.6177 0.0000
-1.0464 0.0000 5.1199
Be Tc Mo
2 1 1
direct
0.0019 0.0000 0.2683
0.9981 0.0000 0.7317
0.5000 0.5000 0.5000
0.5000 0.5000 0.0000
```

Calculated values
**Relative energy among the computed polymorphs**: 300 meV/atom
**Total moment**: 0.00 Bohr magnetons per cell
**ΔE_f**: 0.06 eV per atom
**Energy**: -7.10 eV per atom
**Symmetry**: P2/m, No. 10

=====

# Be2TcMo

An optimized crystal structure of Be2TcMo (PBE-GGA, the Alexandria database).

Cell and atoms, written as POSCAR:
```
Be2TcMo
1.0
1.3680 0.7898 7.9107
-1.3680 0.7898 7.9107
0.0000 -1.5797 7.9107
Be Tc Mo
2 1 1
direct
0.0000 0.0000 0.0000
0.2579 0.2579 0.2579
0.5115 0.5115 0.5115
0.7528 0.7528 0.7528
```

Calculated values
**Relative energy among the computed polymorphs**: 557 meV/atom
**Total moment**: 0.00 Bohr magnetons per cell
**ΔE_f**: 0.32 eV per atom
**Energy**: -6.85 eV per atom
**Symmetry**: R3m, No. 160

=====

# Be2TcMo

An optimized crystal structure of Be2TcMo (PBE-GGA, the Alexandria database).

Cell and atoms, written as POSCAR:
```
Be2TcMo
1.0
-3.1087 3.1087 2.5419
3.1087 -3.1087 2.5419
3.1087 3.1087 -2.5419
Be Tc Mo
4 2 2
direct
0.1182 0.6250 0.9932
0.3750 0.3682 0.4932
0.6318 0.1250 0.0068
0.8750 0.8818 0.5068
0.0000 0.0000 0.0000
0.7500 0.2500 0.5000
0.2500 0.7500 0.5000
0.5000 0.5000 0.0000
```

Calculated values
**Relative energy among the computed polymorphs**: 555 meV/atom
**Total moment**: 0.00 Bohr magnetons per cell
**ΔE_f**: 0.31 eV per atom
**Energy**: -6.85 eV per atom
**Symmetry**: I-42d, No. 122

=====

# BeTcMo3

An optimized crystal structure of BeTcMo3 (PBE-GGA, the Alexandria database).

Cell and atoms, written as POSCAR:
```
BeTcMo3
1.0
4.2057 0.0000 0.0000
0.0000 4.2057 0.0000
0.0000 0.0000 4.2057
Be Tc Mo
1 1 3
direct
0.0000 0.0000 0.0000
0.5000 0.5000 0.5000
0.0000 0.0000 0.5000
0.0000 0.5000 0.0000
0.5000 0.0000 0.0000
```

Calculated values
**Relative energy among the computed polymorphs**: 0 meV/atom
**Total moment**: 0.00 Bohr magnetons per cell
**ΔE_f**: 0.76 eV per atom
**Energy**: -8.56 eV per atom
**Symmetry**: Pm-3m, No. 221

=====

# Be2TcMo

An optimized crystal structure of Be2TcMo (PBE-GGA, the Alexandria database).

Cell and atoms, written as POSCAR:
```
Be2TcMo
1.0
1.3419 0.7747 8.1141
-1.3419 0.7747 8.1141
0.0000 -1.5494 8.1141
Be Tc Mo
2 1 1
direct
0.2476 0.2476 0.2476
0.7524 0.7524 0.7524
0.5000 0.5000 0.5000
0.0000 0.0000 0.0000
```

Calculated values
**Relative energy among the computed polymorphs**: 526 meV/atom
**Total moment**: 0.00 Bohr magnetons per cell
**ΔE_f**: 0.28 eV per atom
**Energy**: -6.88 eV per atom
**Symmetry**: R-3m, No. 166

=====

# Be2TcMo

An optimized crystal structure of Be2TcMo (PBE-GGA, the Alexandria database).

Cell and atoms, written as POSCAR:
```
Be2TcMo
1.0
3.7631 0.0000 0.0000
0.0000 3.7631 0.0000
0.0000 0.0000 3.3552
Be Tc Mo
2 1 1
direct
0.0000 0.5000 0.0000
0.5000 0.0000 0.0000
0.0000 0.0000 0.5000
0.5000 0.5000 0.5000
```

Calculated values
**Relative energy among the computed polymorphs**: 319 meV/atom
**Total moment**: 0.00 Bohr magnetons per cell
**ΔE_f**: 0.08 eV per atom
**Energy**: -7.09 eV per atom
**Symmetry**: P4/mmm, No. 123

=====

# Ti2BeTcMo

An optimized crystal structure of Ti2BeTcMo (PBE-GGA, the Alexandria database).

Cell and atoms, written as POSCAR:
```
Ti2BeTcMo
1.0
4.4015 0.0000 0.0000
0.0000 4.4015 0.0000
0.0000 0.0000 3.9618
Ti Be Tc Mo
2 1 1 1
direct
0.0000 0.5000 0.0000
0.5000 0.0000 0.0000
0.0000 0.0000 0.0000
0.0000 0.0000 0.5000
0.5000 0.5000 0.5000
```

Calculated values
**Total moment**: 0.00 Bohr magnetons per cell
**ΔE_f**: 0.49 eV per atom
**Energy**: -7.65 eV per atom
**Symmetry**: P4/mmm, No. 123

=====

# Be2TeMo

An optimized crystal structure of Be2TeMo (PBE-GGA, the Alexandria database).

Cell and atoms, written as POSCAR:
```
Be2TeMo
1.0
1.7792 -2.1957 0.0000
1.7792 2.1957 0.0000
0.0000 0.0000 9.0207
Be Te Mo
2 1 1
direct
0.0000 0.0000 0.1770
0.0000 0.0000 0.8230
0.5000 0.5000 0.5000
0.5000 0.5000 0.0000
```

Calculated values
**Total moment**: 0.00 Bohr magnetons per cell
**Energy**: -4.77 eV per atom
**E_form (uncorrected)**: 0.5847 eV per atom
**Symmetry**: Cmmm, No. 65

=====

# BeTeMo2

An optimized crystal structure of BeTeMo2 (PBE-GGA, the Alexandria database).

Cell and atoms, written as POSCAR:
```
BeTeMo2
1.0
2.7321 -4.1794 0.0000
2.7321 4.1794 0.0000
-1.1154 0.0000 2.8598
Be Te Mo
1 1 2
direct
0.0000 0.0000 0.0000
0.5000 0.5000 0.0000
0.0000 0.5000 0.5000
0.5000 0.0000 0.5000
```

Calculated values
**Relative energy among the computed polymorphs**: 502 meV/atom
**Total moment**: 0.00 Bohr magnetons per cell
**Energy**: -6.49 eV per atom
**E_form (uncorrected)**: 0.6385 eV per atom
**Symmetry**: C2/m, No. 12

=====

# Be4TeMo

An optimized crystal structure of Be4TeMo (PBE-GGA, the Alexandria database).

Cell and atoms, written as POSCAR:
```
Be4TeMo
1.0
0.0000 3.2594 3.2594
3.2594 0.0000 3.2594
3.2594 3.2594 0.0000
Be Te Mo
4 1 1
direct
0.1210 0.1210 0.1210
0.1210 0.1210 0.6369
0.1210 0.6369 0.1210
0.6369 0.1210 0.1210
0.5000 0.5000 0.5000
0.7500 0.7500 0.7500
```

Calculated values
**Total moment**: 0.00 Bohr magnetons per cell
**Energy**: -4.64 eV per atom
**E_form (uncorrected)**: 0.1680 eV per atom
**Symmetry**: F-43m, No. 216